Record 1
Computed, not measured: Sc2PaRh3 after structural relaxation at the PBE level of DFT.

```
12
Lattice="-0.5731 2.7947 -1.8392 -3.7721 -2.0589 -1.9532 -7.9680 5.0145 10.1024" Properties=species:S:1:pos:R:3 pbc="T T T"
Sc -5.3619 3.3750 6.7975
Sc -2.6064 1.6409 3.3039
Sc -3.8368 2.6316 -1.0685
Sc -9.0493 5.9120 5.5402
Pa -5.8703 1.4789 4.0739
Pa -0.5729 2.7936 -1.8385
Rh -7.4448 3.6858 4.7883
Rh -4.2710 3.9065 4.1303
Rh -4.8684 2.0644 1.5218
Rh -1.5747 2.2081 0.7136
Rh -2.1722 0.3660 -1.8949
Rh -6.9664 5.6012 7.5495
```

Properties
Energy relative to the elements, eV per atom: -0.86
Magnetic moment, Bohr magnetons per cell: 0.000

Record 2
Computed, not measured: Sc5PaRh6 after structural relaxation at the PBE level of DFT.

```
12
Lattice="4.3524 -0.0260 1.5125 0.0359 6.7001 0.0120 0.0889 -0.0135 7.2972" Properties=species:S:1:pos:R:3 pbc="T T T"
Sc 2.9803 3.3237 5.8542
Sc 1.4542 -0.0132 3.0148
Sc 0.0179 3.3500 0.0060
Sc 2.9871 -0.0264 5.7948
Sc 1.4969 3.3368 2.9674
Pa 0.0000 0.0000 0.0000
Rh 3.7114 4.9920 3.6685
Rh 3.6934 1.6555 3.6625
Rh 2.2741 1.6558 8.0564
Rh 2.2031 5.0047 0.7652
Rh 0.7838 5.0050 5.1591
Rh 0.7659 1.6685 5.1531
```

Properties
Energy relative to the elements, eV per atom: -0.94
Magnetic moment, Bohr magnetons per cell: 0.000

Record 3
Computed, not measured: ScPaRh2 after structural relaxation at the PBE level of DFT.

```
4
Lattice="-4.0307 -1.5709 -2.0593 -2.7450 -3.2164 2.2528 -4.2519 1.2940 1.7616" Properties=species:S:1:pos:R:3 pbc="T T T"
Sc -5.5138 -1.7466 0.9775
Pa 0.0000 0.0000 0.0000
Rh -8.1214 -2.8364 1.3391
Rh -2.9062 -0.6569 0.6158
```

Properties
ΔE to the lowest computed polymorph, meV/atom: 39
Energy relative to the elements, eV per atom: -0.75
Magnetic moment, Bohr magnetons per cell: 0.000

Record 4
Computed, not measured: ScPa2Si3Rh4 after structural relaxation at the PBE level of DFT.

```
10
Lattice="3.9800 0.0000 0.0000 0.0000 3.9800 0.0000 0.0000 0.0000 11.0571" Properties=species:S:1:pos:R:3 pbc="T T T"
Sc 1.9900 1.9900 5.5285
Pa 1.9900 0.0000 2.5816
Pa 0.0000 1.9900 8.4755
Si 0.0000 0.0000 5.5285
Si 1.9900 0.0000 9.7021
Si 0.0000 1.9900 1.3550
Rh 1.9900 1.9900 0.0000
Rh 0.0000 0.0000 0.0000
Rh 1.9900 0.0000 7.3041
Rh 0.0000 1.9900 3.7529
```

Properties
Formation energy from raw total energies, eV/atom: -0.939
Magnetic moment, Bohr magnetons per cell: 0.000

Record 5
Computed, not measured: ScPaTcRh after structural relaxation at the PBE level of DFT.

```
4
Lattice="4.8926 0.0000 0.0000 0.0000 4.6592 -0.1560 -2.4463 -2.4375 3.4571" Properties=species:S:1:pos:R:3 pbc="T T T"
Sc 2.4463 -0.0340 1.7034
Pa 0.0000 2.2385 1.5842
Tc 0.0000 0.2239 0.1609
Rh 0.0000 -0.3145 3.2316
```

Properties
Energy relative to the elements, eV per atom: -0.57
Magnetic moment, Bohr magnetons per cell: 0.000

Record 6
Computed, not measured: PaRhSe3 after structural relaxation at the PBE level of DFT.

```
10
Lattice="3.9316 -0.0029 0.0026 -1.9705 7.1933 0.4519 0.0080 -2.3555 8.7559" Properties=species:S:1:pos:R:3 pbc="T T T"
Pa 0.0019 3.5386 6.2114
Pa 1.9672 1.2963 2.9990
Rh 0.0064 0.4380 7.6447
Rh 1.9627 4.3968 1.5657
Se -0.0003 0.9433 5.1214
Se 1.9627 2.2973 0.2959
Se 0.0006 -0.3067 1.8247
Se 1.9693 3.8915 4.0889
Se 1.9685 5.1416 7.3857
Se 0.0063 2.5376 8.9144
```

Properties
Formation energy from raw total energies, eV/atom: -0.737
Magnetic moment, Bohr magnetons per cell: 1.467